First-principles (PBE) data for a relaxed structure of HfFe3N, as listed in Alexandria.

Values from the calculation:
uncorrected formation energy	1250.2	kJ/mol of formula units
spin magnetization	7.15	μB per cell
space-group type	No. 221
polymorph energy (0 for the lowest one)	2854	meV/atom

Cell and atoms, written as extended XYZ:
```
5
Lattice="-4.025 -1.785 1.324 -0.429 -2.063 -4.086 2.180 -3.701 1.639" Properties=species:S:1:pos:R:3 pbc="T T T"
Fe -0.215 -1.031 -2.043
Fe 1.090 -1.850 0.820
Fe -2.012 -0.892 0.662
N -1.137 -3.774 -0.562
Hf 0.000 0.000 0.000
```

***

First-principles (PBE) data for a relaxed structure of ZrGeSb2Os, as listed in Alexandria.

Values from the calculation:
uncorrected formation energy	441.7	kJ/mol of formula units
spin magnetization	0.00	μB per cell
space-group type	No. 123

Cell and atoms, written as extended XYZ:
```
5
Lattice="-3.950 2.853 1.921 -2.173 -3.764 1.124 2.325 0.059 4.693" Properties=species:S:1:pos:R:3 pbc="T T T"
Zr -1.899 -0.426 3.869
Sb -1.975 1.427 0.960
Sb 1.162 0.030 2.347
Os -1.086 -1.882 0.562
Ge 0.000 0.000 0.000
```

***

First-principles (PBE) data for a relaxed structure of PrAg2Se3, as listed in Alexandria.

Values from the calculation:
uncorrected formation energy	-370.0	kJ/mol of formula units
spin magnetization	0.00	μB per cell
space-group type	No. 63

Cell and atoms, written as extended XYZ:
```
12
Lattice="-1.419 2.290 4.648 -7.509 -0.368 -2.111 2.256 -6.410 3.847" Properties=species:S:1:pos:R:3 pbc="T T T"
Se -3.108 -3.957 5.658
Se -3.564 -0.531 0.726
Se -6.598 -0.578 -0.177
Se -0.074 -3.910 6.561
Se -1.091 -1.356 4.992
Se -5.581 -3.133 1.392
Pr -5.964 -0.265 2.967
Pr -0.708 -4.223 3.416
Ag -1.795 -0.256 2.683
Ag -4.877 -4.232 3.701
Ag -1.086 -1.401 0.359
Ag -4.167 -5.377 1.377
```

***

First-principles (PBE) data for a relaxed structure of AsOsRh2, as listed in Alexandria.

Values from the calculation:
ΔE_f	0.3	eV/f.u.
spin magnetization	0.00	μB per cell
space-group type	No. 8

Cell and atoms, written as extended XYZ:
```
4
Lattice="-2.574 3.392 -2.192 -4.380 1.806 -0.703 -0.655 3.641 3.085" Properties=species:S:1:pos:R:3 pbc="T T T"
Os -5.902 6.882 0.174
Rh -0.733 3.639 2.987
Rh -1.769 2.268 0.271
As -3.663 4.111 -0.062
```